First-principles (PBE) data for a geometry-optimized Rb2HI6F structure, as listed in Alexandria.

**Electronic total energy**: -20.28 eV per cell
**Crystal system**: tetragonal

Cell and atoms, written as CIF:
```
data_Rb2HI6F
_chemical_formula_sum 'Rb2 H1 I6 F1'
_cell_length_a 8.1353
_cell_length_b 8.1353
_cell_length_c 8.1353
_cell_angle_alpha 120.78
_cell_angle_beta 120.78
_cell_angle_gamma 88.66
_symmetry_space_group_name_H-M 'P 1'
_symmetry_Int_Tables_number 1
_symmetry_space_group_name_Hall 'P 1'
loop_
_atom_site_label
_atom_site_fract_x
_atom_site_fract_y
_atom_site_fract_z
Rb1 0.2500 0.7500 0.5000
Rb2 0.7500 0.2500 0.5000
H1 0.0000 0.0000 0.0000
I1 0.2128 0.2128 0.4256
I2 0.2128 0.7872 0.0000
I3 0.3005 0.3005 0.0000
I4 0.6995 0.6995 0.0000
I5 0.7872 0.2128 0.0000
I6 0.7872 0.7872 0.5744
F1 0.5000 0.5000 0.0000
```

---

First-principles (PBE) data for a geometry-optimized PrEr2Ni9 structure, as listed in Alexandria.

**Electronic total energy**: -70.69 eV per cell
**Crystal system**: trigonal
**ΔH_f (0 K)**: -38.2 kJ/mol of atoms

Cell and atoms, written as CIF:
```
data_PrEr2Ni9
_chemical_formula_sum 'Pr1 Er2 Ni9'
_cell_length_a 8.5865
_cell_length_b 8.5865
_cell_length_c 8.5865
_cell_angle_alpha 33.84
_cell_angle_beta 33.84
_cell_angle_gamma 33.84
_symmetry_space_group_name_H-M 'P 1'
_symmetry_Int_Tables_number 1
_symmetry_space_group_name_Hall 'P 1'
loop_
_atom_site_label
_atom_site_fract_x
_atom_site_fract_y
_atom_site_fract_z
Pr1 0.0000 0.0000 0.0000
Er1 0.1402 0.1402 0.1402
Er2 0.8598 0.8598 0.8598
Ni1 0.0822 0.5845 0.5845
Ni2 0.3330 0.3330 0.3330
Ni3 0.4155 0.4155 0.9178
Ni4 0.4155 0.9178 0.4155
Ni5 0.5000 0.5000 0.5000
Ni6 0.5845 0.0822 0.5845
Ni7 0.5845 0.5845 0.0822
Ni8 0.6670 0.6670 0.6670
Ni9 0.9178 0.4155 0.4155
```

---

First-principles (PBE) data for a geometry-optimized Rb6NbBr12 structure, as listed in Alexandria.

**Formation energy without anion corrections**: -1.3014 eV/atom
**Electronic total energy**: -60.68 eV per cell
**Crystal system**: trigonal

Cell and atoms, written as CIF:
```
data_Rb6NbBr12
_chemical_formula_sum 'Rb6 Nb1 Br12'
_cell_length_a 9.7812
_cell_length_b 9.7812
_cell_length_c 9.7812
_cell_angle_alpha 96.20
_cell_angle_beta 96.20
_cell_angle_gamma 96.20
_symmetry_space_group_name_H-M 'P 1'
_symmetry_Int_Tables_number 1
_symmetry_space_group_name_Hall 'P 1'
loop_
_atom_site_label
_atom_site_fract_x
_atom_site_fract_y
_atom_site_fract_z
Rb1 0.1305 0.8258 0.6653
Rb2 0.1742 0.3347 0.8695
Rb3 0.3347 0.8695 0.1742
Rb4 0.6653 0.1305 0.8258
Rb5 0.8258 0.6653 0.1305
Rb6 0.8695 0.1742 0.3347
Nb1 0.5000 0.5000 0.5000
Br1 0.0575 0.9002 0.3418
Br2 0.0998 0.6582 0.9425
Br3 0.2389 0.4570 0.5089
Br4 0.3418 0.0575 0.9002
Br5 0.4570 0.5089 0.2389
Br6 0.4911 0.7611 0.5430
Br7 0.5089 0.2389 0.4570
Br8 0.5430 0.4911 0.7611
Br9 0.6582 0.9425 0.0998
Br10 0.7611 0.5430 0.4911
Br11 0.9002 0.3418 0.0575
Br12 0.9425 0.0998 0.6582
```

---

What is the formula in the first record? Rb2HI6F

---

Which of these has the highest electronic total energy? Rb2HI6F